DFT (PBE) results for crystalline CaSc2Cl2 at its relaxed geometry.

The structure in CIF format:
```
data_CaSc2Cl2
_space_group_name_H-M_alt 'I 4/m m m'
_space_group_IT_number 139
_space_group_name_Hall '-I 4 2'
_cell_length_a 4.167
_cell_length_b 4.167
_cell_length_c 13.521
_cell_angle_alpha 90.00
_cell_angle_beta 90.00
_cell_angle_gamma 90.00
loop_
_atom_site_label
_atom_site_type_symbol
_atom_site_fract_x
_atom_site_fract_y
_atom_site_fract_z
Ca1 Ca 0.000 0.000 0.000
Sc1 Sc 0.000 0.500 0.250
Cl1 Cl 0.000 0.000 0.388
```

Fermi-level density of states   3.00 states/eV/f.u.
Total DFT energy (no corrections)   -21.9 eV per formula unit
Offset from the most stable computed form   0.000 eV/atom
Crystal system   tetragonal
E_form (uncorrected)   -0.706 eV/atom